No. 1
Entry from Alexandria via LeMat-Bulk: Pm12Er2Tl after structural relaxation (PBE).

Geometry as CIF:
```
data_Pm12Er2Tl
_cell_length_a 6.674
_cell_length_b 6.674
_cell_length_c 23.750
_cell_angle_alpha 90.00
_cell_angle_beta 90.00
_cell_angle_gamma 90.00
_space_group_name_H-M_alt 'P 4/n b m'
_space_group_IT_number 125
loop_
_space_group_symop_operation_xyz
'x,y,z'
'-x,-y,-z'
'-y+1/2,x,z'
'y+1/2,-x,-z'
'-x+1/2,-y+1/2,z'
'x+1/2,y+1/2,-z'
'y,-x+1/2,z'
'-y,x+1/2,-z'
'x,-y+1/2,-z'
'-x,y+1/2,z'
'-y+1/2,-x+1/2,-z'
'y+1/2,x+1/2,z'
'-x+1/2,y,-z'
'x+1/2,-y,z'
'y,x,-z'
'-y,-x,z'
loop_
_atom_site_label
_atom_site_fract_x
_atom_site_fract_y
_atom_site_fract_z
Pm1 0.003 0.503 0.094
Pm2 0.083 0.583 0.566
Pm3 0.250 0.250 0.200
Pm4 0.250 0.250 0.328
Er1 0.250 0.750 0.249
Tl1 0.250 0.750 0.000
```

Output
Calculated formation energy = 0.25 eV per atom
Magnetization = 0.000 μB per atom
Calculated volume = 1057.92 Å³/cell



No. 2
Entry from Alexandria via LeMat-Bulk: Pm4ErTl5 after structural relaxation (PBE).

Geometry as CIF:
```
data_Pm4ErTl5
_cell_length_a 3.803
_cell_length_b 3.803
_cell_length_c 19.842
_cell_angle_alpha 90.00
_cell_angle_beta 90.00
_cell_angle_gamma 90.00
_space_group_name_H-M_alt 'P 4/m m m'
_space_group_IT_number 123
_space_group_name_Hall '-P 4 2'
loop_
_atom_site_label
_atom_site_fract_x
_atom_site_fract_y
_atom_site_fract_z
Pm1 0.000 0.000 0.102
Pm2 0.000 0.000 0.306
Er1 0.000 0.000 0.500
Tl1 0.500 0.500 0.000
Tl2 0.500 0.500 0.204
Tl3 0.500 0.500 0.407
```

Output
Calculated formation energy = -0.37 eV per atom
Magnetization = 0.000 μB per atom
Calculated volume = 286.94 Å³/cell



No. 3
Entry from Alexandria via LeMat-Bulk: PmEr8Tl6 after structural relaxation (PBE).

Geometry as CIF:
```
data_PmEr8Tl6
_cell_length_a 9.0552
_cell_length_b 9.0552
_cell_length_c 19.4645
_cell_angle_alpha 90.00
_cell_angle_beta 90.00
_cell_angle_gamma 120.00
_space_group_name_H-M_alt 'R -3'
_space_group_IT_number 148
_space_group_name_Hall '-R 3'
loop_
_atom_site_label
_atom_site_fract_x
_atom_site_fract_y
_atom_site_fract_z
Pm1 0.0000 0.0000 0.0000
Er1 0.0000 0.0000 0.3328
Er2 0.0008 0.3325 0.1097
Tl1 0.9999 0.3386 0.9350
```

Output
Calculated formation energy = -0.12 eV per atom
Magnetization = 0.000 μB per atom
Calculated volume = 1382.21 Å³/cell



No. 4
Entry from Alexandria via LeMat-Bulk: Pm5ErTl3 after structural relaxation (PBE).

Geometry as CIF:
```
data_Pm5ErTl3
_cell_length_a 9.5565
_cell_length_b 9.5565
_cell_length_c 6.8649
_cell_angle_alpha 90.00
_cell_angle_beta 90.00
_cell_angle_gamma 120.00
_space_group_name_H-M_alt 'P 63/m c m'
_space_group_IT_number 193
_space_group_name_Hall '-P 6c 2'
loop_
_atom_site_label
_atom_site_fract_x
_atom_site_fract_y
_atom_site_fract_z
Pm1 0.0000 0.3376 0.2500
Pm2 0.3333 0.6667 0.0000
Er1 0.0000 0.0000 0.0000
Tl1 0.0000 0.3261 0.7500
```

Output
Calculated formation energy = -0.26 eV per atom
Magnetization = 0.196 μB per atom
Calculated volume = 542.96 Å³/cell



> Which of these has the highest calculated formation energy?

Pm12Er2Tl